Record 1
An optimized crystal structure of SrTbAuSe3. Source: the Alexandria database, functional PBE.

a b c (Å): 8.3639 4.1592 9.4771
angles (deg): 90.00 104.38 90.00
With the nearest neighbours (Å) after each atom.
Space group P2_1/m (No. 11)
Asymmetric unit:
Sr 0.2047 0.2500 0.2529 [2 per cell]  6 Se 3.14-3.22, 1 Au 3.46
Tb 0.3196 0.7500 0.8319 [2 per cell]  6 Se 2.88-2.92
Au 0.1061 0.2500 0.5868 [2 per cell]  3 Se 2.66-2.69, 2 Au 2.96
Se 0.0863 0.2500 0.8627 [2 per cell]  1 Au 2.66, 2 Tb 2.91
Se 0.2772 0.7500 0.5205 [2 per cell]  2 Au 2.69, 1 Tb 2.88
Se 0.4331 0.7500 0.1491 [2 per cell]  3 Tb 2.91-2.92, 2 Sr 3.14

For the energy, the calculation gives -4.8188 eV/atom.



Record 2
An optimized crystal structure of Sr2UAuSe5. Source: the Alexandria database, functional PBE.

a b c (Å): 4.2024 18.2610 12.9218
angles (deg): 90.00 90.00 90.00
With the nearest neighbours (Å) after each atom.
Space group Cmc2_1 (No. 36)
Asymmetric unit:
Sr 0.0000 0.1112 0.0000 [4 per cell]  5 Se 3.08-3.31
Sr 0.0000 0.1148 0.6349 [4 per cell]  7 Se 3.06-3.41
U 0.0000 0.2027 0.3275 [4 per cell]  6 Se 2.71-2.85
Au 0.0000 0.4350 0.7408 [4 per cell]  4 Se 2.55-2.71
Se 0.0000 0.0562 0.3599 [4 per cell]  2 Au 2.61, 1 U 2.71
Se 0.0000 0.2916 0.9741 [4 per cell]  2 U 2.83
Se 0.0000 0.2930 0.6787 [4 per cell]  1 Au 2.71, 2 U 2.85
Se 0.0000 0.3540 0.3200 [4 per cell]  1 U 2.77
Se 0.0000 0.4975 0.0677 [4 per cell]  1 Au 2.55

For the energy, the calculation gives -5.2403 eV/atom.



Record 3
An optimized crystal structure of SrWAuSe2. Source: the Alexandria database, functional PBE.

a b c (Å): 5.3435 5.3435 5.0298
angles (deg): 90.00 90.00 90.00
With the nearest neighbours (Å) after each atom.
Space group P4/mmm (No. 123)
Asymmetric unit:
Sr 0.0000 0.0000 0.0000 [1 per cell]  8 Se 3.67, 4 W 3.78
W 0.5000 0.5000 0.0000 [1 per cell]  2 Au 2.51
Au 0.5000 0.5000 0.5000 [1 per cell]  2 W 2.51, 4 Se 2.67
Se 0.0000 0.5000 0.5000 [2 per cell]  2 Au 2.67

For the energy, the calculation gives -4.3487 eV/atom.



Record 4
An optimized crystal structure of TaAu3Se. Source: the Alexandria database, functional PBE.

a b c (Å): 4.8844 4.8844 4.8844
angles (deg): 90.00 90.00 90.00
With the nearest neighbours (Å) after each atom.
Space group Pm-3m (No. 221)
Asymmetric unit:
Ta 0.0000 0.0000 0.0000 [1 per cell]  12 Au 3.45
Au 0.0000 0.5000 0.5000 [3 per cell]  2 Se 2.44
Se 0.5000 0.5000 0.5000 [1 per cell]  6 Au 2.44

For the polymorph energy (0 for the lowest one), the calculation gives 0.45 eV per formula unit.



- Which formula does entry 2 have?
  Sr2UAuSe5